This record from Alexandria describes a relaxed Mn2Cu crystal. The functional is PBEsol.

Cell lengths 2.4354, 3.5607, 4.2513 Å; angles 114.76, 106.64, 90.00 degrees
Last column: nearest neighbours and their distance in Å.
Element x y z (fractional)
Mn  0.3306  0.3306  0.6612  5 Cu 2.42-2.49, 7 Mn 2.44-2.48
Mn  0.6694  0.6694  0.3388  5 Cu 2.42-2.49, 7 Mn 2.44-2.48
Cu  0.0000  0.0000  0.0000  10 Mn 2.42-2.49, 2 Cu 2.44

Properties
The formation energy is 0.72 eV per formula unit. For the density of states at the Fermi level, the calculation gives 3.07 states/eV/cell. The calculation puts the volume at 10.6 A^3/atom.


This record from Alexandria describes a relaxed Mn2CuMo crystal. The functional is PBEsol.

Cell lengths 2.5356, 4.3874, 4.5712 Å; angles 96.65, 90.00, 106.80 degrees
Last column: nearest neighbours and their distance in Å.
Element x y z (fractional)
Mo  0.0000  0.0000  0.5000  6 Mn 2.50-2.67, 2 Mo 2.54, 4 Cu 2.61
Cu  0.5000  0.0000  0.0000  6 Mn 2.52-2.53, 2 Cu 2.54, 4 Mo 2.61
Mn  0.7570  0.5140  0.7666  6 Mn 2.50-2.74, 3 Mo 2.50-2.67, 3 Cu 2.52-2.53
Mn  0.2430  0.4860  0.2334  6 Mn 2.50-2.74, 3 Mo 2.50-2.67, 3 Cu 2.52-2.53

Properties
The calculation puts the relative energy among the computed polymorphs at 93 meV per atom. The formation energy is 1.14 eV per formula unit. For the density of states at the Fermi level, the calculation gives 3.95 states/eV/cell. The calculation puts the volume at 12.1 A^3/atom.